{"formula": "Sr2MnSb3Rh4", "functional": "GGA-PBE", "state": "relaxed", "lattice": [[4.401, 0.000, 0.000], [0.000, 4.401, 0.000], [0.000, 0.000, 11.128]], "species": ["Sb", "Sb", "Sb", "Sr", "Sr", "Rh", "Rh", "Rh", "Rh", "Mn"], "frac_coords": [[0.000, 0.000, 0.500], [0.500, 0.000, 0.867], [0.000, 0.500, 0.133], [0.000, 0.500, 0.745], [0.500, 0.000, 0.255], [0.500, 0.000, 0.630], [0.000, 0.500, 0.370], [0.000, 0.000, 0.000], [0.500, 0.500, 0.000], [0.500, 0.500, 0.500]], "magmom_total_mub_per_fu": 4.1, "final_energy_ev_per_cell": -60.52, "crystal_system": "tetragonal", "formation_energy_uncorrected_mev_per_atom": -621.6, "rho_g_cm3": 7.8, "sg": "P-4m2"}